No. 1
ThMnGe2: relaxed, PBE.

Values from the calculation:
Space-group type   No. 62
E_form   -0.48 eV/atom

a b c (Å): 4.337 6.878 10.318
angles (deg): 90.00 90.00 90.00
Site moments in Bohr magnetons follow the coordinates.
Fractional positions:
1 Ge 0.250 0.365 0.316  -0.02
2 Ge 0.250 0.322 0.922  -0.04
3 Ge 0.750 0.178 0.422  -0.04
4 Ge 0.750 0.135 0.816  -0.02
5 Ge 0.750 0.635 0.684  -0.02
6 Ge 0.250 0.822 0.578  -0.04
7 Ge 0.250 0.865 0.184  -0.02
8 Ge 0.750 0.678 0.078  -0.04
9 Th 0.750 0.182 0.126  -0.04
10 Th 0.250 0.818 0.874  -0.04
11 Th 0.750 0.682 0.374  -0.04
12 Th 0.250 0.318 0.626  -0.04
13 Mn 0.250 0.016 0.390  1.00
14 Mn 0.250 0.516 0.110  1.00
15 Mn 0.750 0.984 0.610  1.00
16 Mn 0.750 0.484 0.890  1.00

No. 2
ThMnGe2: relaxed, PBE.

Values from the calculation:
Space-group type   No. 166
E_form   -0.45 eV/atom

a b c (Å): 4.216 4.216 5.747
angles (deg): 68.48 68.48 60.00
Site moments in Bohr magnetons follow the coordinates.
Fractional positions:
1 Th 0.500 0.500 0.500  -0.11
2 Ge 0.280 0.280 0.159  -0.07
3 Ge 0.720 0.720 0.841  -0.07
4 Mn 0.000 0.000 0.000  2.74

Please write out number 2 again, unchanged.
ThMnGe2: relaxed, PBE.

Values from the calculation:
Space-group type   No. 166
E_form   -0.45 eV/atom

a b c (Å): 4.216 4.216 5.747
angles (deg): 68.48 68.48 60.00
Site moments in Bohr magnetons follow the coordinates.
Fractional positions:
1 Th 0.500 0.500 0.500  -0.11
2 Ge 0.280 0.280 0.159  -0.07
3 Ge 0.720 0.720 0.841  -0.07
4 Mn 0.000 0.000 0.000  2.74

Q: Number 1 is which compound?
A: ThMnGe2